(1)
Here is crystalline Ce3CrC4 at its relaxed geometry from Alexandria. Energies are from PBE.

Calculated values
D(E_F), states/eV/cell: 16.19
Crystal system: orthorhombic

CIF file:
```
data_Ce3CrC4
_chemical_formula_sum 'Ce6 Cr2 C8'
_space_group_name_H-M_alt 'P 1'
_space_group_IT_number 1
_cell_length_a 5.494
_cell_length_b 8.246
_cell_length_c 5.703
_cell_angle_alpha 90.00
_cell_angle_beta 90.00
_cell_angle_gamma 90.00
loop_
_space_group_symop_operation_xyz
'x,y,z'
loop_
_atom_site_label
_atom_site_type_symbol
_atom_site_fract_x
_atom_site_fract_y
_atom_site_fract_z
Ce1 Ce 0.000 0.000 0.000
Ce2 Ce 0.000 0.225 0.539
Ce3 Ce 0.000 0.775 0.539
Ce4 Ce 0.500 0.275 0.039
Ce5 Ce 0.500 0.500 0.500
Ce6 Ce 0.500 0.725 0.039
Cr1 Cr 0.000 0.500 0.006
Cr2 Cr 0.500 0.000 0.506
C1 C 0.000 0.300 0.154
C2 C 0.000 0.700 0.154
C3 C 0.243 0.000 0.313
C4 C 0.257 0.500 0.813
C5 C 0.500 0.200 0.654
C6 C 0.500 0.800 0.654
C7 C 0.743 0.500 0.813
C8 C 0.757 0.000 0.313
```



(2)
Here is crystalline YAlAu2 at its relaxed geometry from Alexandria. Energies are from PBE.

Calculated values
D(E_F), states/eV/cell: 9.56
Crystal system: tetragonal

CIF file:
```
data_YAlAu2
_chemical_formula_sum 'Y4 Al4 Au8'
_space_group_name_H-M_alt 'P 1'
_space_group_IT_number 1
_cell_length_a 4.829
_cell_length_b 4.829
_cell_length_c 16.833
_cell_angle_alpha 90.00
_cell_angle_beta 90.00
_cell_angle_gamma 90.00
loop_
_space_group_symop_operation_xyz
'x,y,z'
loop_
_atom_site_label
_atom_site_type_symbol
_atom_site_fract_x
_atom_site_fract_y
_atom_site_fract_z
Y1 Y 0.000 0.000 0.000
Y2 Y 0.000 0.500 0.250
Y3 Y 0.500 0.000 0.750
Y4 Y 0.500 0.500 0.500
Al1 Al 0.000 0.000 0.500
Al2 Al 0.000 0.500 0.750
Al3 Al 0.500 0.000 0.250
Al4 Al 0.500 0.500 0.000
Au1 Au 0.162 0.250 0.625
Au2 Au 0.250 0.662 0.875
Au3 Au 0.250 0.838 0.375
Au4 Au 0.338 0.250 0.125
Au5 Au 0.662 0.750 0.125
Au6 Au 0.750 0.162 0.375
Au7 Au 0.750 0.338 0.875
Au8 Au 0.838 0.750 0.625
```



(3)
Here is crystalline SnHgPCl2 at its relaxed geometry from Alexandria. Energies are from PBE.

Calculated values
Formation energy from raw total energies, eV/atom: -0.016
D(E_F), states/eV/cell: 1.45
Crystal system: tetragonal
Distance to the lowest polymorph of the same formula, meV/atom: 0

CIF file:
```
data_SnHgPCl2
_chemical_formula_sum 'Sn1 Hg1 P1 Cl2'
_space_group_name_H-M_alt 'P 1'
_space_group_IT_number 1
_cell_length_a 5.338
_cell_length_b 5.338
_cell_length_c 5.378
_cell_angle_alpha 90.00
_cell_angle_beta 90.00
_cell_angle_gamma 90.00
loop_
_space_group_symop_operation_xyz
'x,y,z'
loop_
_atom_site_label
_atom_site_type_symbol
_atom_site_fract_x
_atom_site_fract_y
_atom_site_fract_z
Sn1 Sn 0.000 0.000 0.000
Hg1 Hg 0.500 0.500 0.500
P1 P 0.000 0.000 0.500
Cl1 Cl 0.000 0.500 0.000
Cl2 Cl 0.500 0.000 0.000
```



(4)
Here is crystalline Cs3H3Pt at its relaxed geometry from Alexandria. Energies are from PBE.

Calculated values
D(E_F), states/eV/cell: 2.97
Crystal system: monoclinic

CIF file:
```
data_Cs3H3Pt
_chemical_formula_sum 'Cs6 H6 Pt2'
_space_group_name_H-M_alt 'P 1'
_space_group_IT_number 1
_cell_length_a 8.022
_cell_length_b 5.635
_cell_length_c 8.917
_cell_angle_alpha 90.00
_cell_angle_beta 97.81
_cell_angle_gamma 90.00
loop_
_space_group_symop_operation_xyz
'x,y,z'
loop_
_atom_site_label
_atom_site_type_symbol
_atom_site_fract_x
_atom_site_fract_y
_atom_site_fract_z
Cs1 Cs 0.097 0.250 0.247
Cs2 Cs 0.300 0.750 0.551
Cs3 Cs 0.330 0.750 0.020
Cs4 Cs 0.670 0.250 0.980
Cs5 Cs 0.700 0.250 0.449
Cs6 Cs 0.903 0.750 0.753
H1 H 0.080 0.250 0.600
H2 H 0.278 0.250 0.954
H3 H 0.399 0.250 0.696
H4 H 0.601 0.750 0.304
H5 H 0.722 0.750 0.046
H6 H 0.920 0.750 0.400
Pt1 Pt 0.205 0.250 0.768
Pt2 Pt 0.795 0.750 0.232
```



(5)
Here is crystalline Y6NiI10 at its relaxed geometry from Alexandria. Energies are from PBE.

Calculated values
Formation energy from raw total energies, eV/atom: -1.206
Crystal system: triclinic

CIF file:
```
data_Y6NiI10
_chemical_formula_sum 'Y6 Ni1 I10'
_space_group_name_H-M_alt 'P 1'
_space_group_IT_number 1
_cell_length_a 7.717
_cell_length_b 9.672
_cell_length_c 9.698
_cell_angle_alpha 106.79
_cell_angle_beta 96.57
_cell_angle_gamma 104.17
loop_
_space_group_symop_operation_xyz
'x,y,z'
loop_
_atom_site_label
_atom_site_type_symbol
_atom_site_fract_x
_atom_site_fract_y
_atom_site_fract_z
Y1 Y 0.035 0.221 0.417
Y2 Y 0.114 0.542 0.264
Y3 Y 0.338 0.619 0.661
Y4 Y 0.662 0.381 0.339
Y5 Y 0.886 0.458 0.736
Y6 Y 0.965 0.779 0.583
Ni1 Ni 0.000 0.500 0.500
I1 I 0.087 0.874 0.319
I2 I 0.233 0.247 0.158
I3 I 0.254 0.586 0.961
I4 I 0.343 0.947 0.772
I5 I 0.455 0.314 0.594
I6 I 0.545 0.686 0.406
I7 I 0.657 0.053 0.228
I8 I 0.746 0.414 0.039
I9 I 0.767 0.753 0.842
I10 I 0.913 0.126 0.681
```



(6)
Here is crystalline LiNpInF6 at its relaxed geometry from Alexandria. Energies are from PBE.

Calculated values
Formation energy from raw total energies, eV/atom: -2.943
D(E_F), states/eV/cell: 12.13
Crystal system: trigonal

CIF file:
```
data_LiNpInF6
_chemical_formula_sum 'Li1 Np1 In1 F6'
_space_group_name_H-M_alt 'P 1'
_space_group_IT_number 1
_cell_length_a 5.693
_cell_length_b 5.693
_cell_length_c 6.014
_cell_angle_alpha 90.00
_cell_angle_beta 90.00
_cell_angle_gamma 120.00
loop_
_space_group_symop_operation_xyz
'x,y,z'
loop_
_atom_site_label
_atom_site_type_symbol
_atom_site_fract_x
_atom_site_fract_y
_atom_site_fract_z
Li1 Li 0.000 0.000 0.000
Np1 Np 0.667 0.333 0.000
In1 In 0.333 0.667 0.500
F1 F 0.326 0.032 0.193
F2 F 0.326 0.293 0.807
F3 F 0.707 0.032 0.807
F4 F 0.707 0.674 0.193
F5 F 0.968 0.293 0.193
F6 F 0.968 0.674 0.807
```



(7)
Here is crystalline SrP2Pt5 at its relaxed geometry from Alexandria. Energies are from PBE.

Calculated values
D(E_F), states/eV/cell: 10.33
Crystal system: orthorhombic

CIF file:
```
data_SrP2Pt5
_chemical_formula_sum 'Sr2 P4 Pt10'
_space_group_name_H-M_alt 'P 1'
_space_group_IT_number 1
_cell_length_a 4.173
_cell_length_b 6.997
_cell_length_c 9.517
_cell_angle_alpha 90.00
_cell_angle_beta 90.00
_cell_angle_gamma 90.00
loop_
_space_group_symop_operation_xyz
'x,y,z'
loop_
_atom_site_label
_atom_site_type_symbol
_atom_site_fract_x
_atom_site_fract_y
_atom_site_fract_z
Sr1 Sr 0.000 0.000 0.000
Sr2 Sr 0.500 0.500 0.500
P1 P 0.000 0.500 0.247
P2 P 0.000 0.500 0.753
P3 P 0.500 0.000 0.253
P4 P 0.500 0.000 0.747
Pt1 Pt 0.000 0.202 0.348
Pt2 Pt 0.000 0.202 0.652
Pt3 Pt 0.000 0.500 0.000
Pt4 Pt 0.000 0.798 0.348
Pt5 Pt 0.000 0.798 0.652
Pt6 Pt 0.500 0.000 0.500
Pt7 Pt 0.500 0.298 0.152
Pt8 Pt 0.500 0.298 0.848
Pt9 Pt 0.500 0.702 0.152
Pt10 Pt 0.500 0.702 0.848
```



(8)
Here is crystalline Pr2UNiS5 at its relaxed geometry from Alexandria. Energies are from PBE.

Calculated values
Formation energy from raw total energies, eV/atom: -1.587
D(E_F), states/eV/cell: 13.18
Crystal system: orthorhombic

CIF file:
```
data_Pr2UNiS5
_chemical_formula_sum 'Pr4 U2 Ni2 S10'
_space_group_name_H-M_alt 'P 1'
_space_group_IT_number 1
_cell_length_a 8.461
_cell_length_b 8.461
_cell_length_c 12.072
_cell_angle_alpha 90.00
_cell_angle_beta 90.00
_cell_angle_gamma 153.63
loop_
_space_group_symop_operation_xyz
'x,y,z'
loop_
_atom_site_label
_atom_site_type_symbol
_atom_site_fract_x
_atom_site_fract_y
_atom_site_fract_z
Pr1 Pr 0.114 0.886 0.500
Pr2 Pr 0.116 0.884 0.849
Pr3 Pr 0.884 0.116 0.349
Pr4 Pr 0.886 0.114 0.000
U1 U 0.178 0.822 0.179
U2 U 0.822 0.178 0.679
Ni1 Ni 0.445 0.555 0.572
Ni2 Ni 0.555 0.445 0.072
S1 S 0.020 0.980 0.161
S2 S 0.303 0.697 0.839
S3 S 0.314 0.686 0.519
S4 S 0.343 0.657 0.174
S5 S 0.495 0.505 0.905
S6 S 0.505 0.495 0.405
S7 S 0.657 0.343 0.674
S8 S 0.686 0.314 0.019
S9 S 0.697 0.303 0.339
S10 S 0.980 0.020 0.661
```



Number 1: uncorrected energy -0.2898 hartree per atom. Number 2: uncorrected energy -0.1680 hartree per atom. Number 3: uncorrected energy -0.0991 hartree per atom. Number 4: uncorrected energy -0.1060 hartree per atom. Number 5: uncorrected energy -0.1742 hartree per atom. Number 6: uncorrected energy -0.2258 hartree per atom. Number 7: uncorrected energy -0.2197 hartree per atom. Number 8: uncorrected energy -0.2513 hartree per atom.